Record 1
The following is a DFT calculation (PBE) of Yb3Mg after structural relaxation.

Properties
E_form   -0.1036 eV per atom

Cell: 5.635 5.635 5.635 Å, 60.00 60.00 60.00°
Last column: magnetic moment on the atom in μB.
Fractional coordinates of all 4 atoms:
1 Mg 0.000 0.000 0.000  0.00
2 Yb 0.250 0.250 0.250  0.16
3 Yb 0.500 0.500 0.500  0.16
4 Yb 0.750 0.750 0.750  0.16

Record 2
The following is a DFT calculation (PBE) of BaAsHPd after structural relaxation.

Properties
E   -17.58 eV per cell

Cell: 4.601 4.671 4.810 Å, 118.99 90.00 90.00°
Fractional coordinates of all 4 atoms:
1 Ba 0.500 0.519 0.415
2 As 0.000 0.812 0.006
3 H 0.000 0.013 0.410
4 Pd 0.000 0.224 0.830

Record 3
The following is a DFT calculation (PBE) of Sr4CaMg after structural relaxation.

Properties
E_form   0.2837 eV per atom
Distance to the lowest polymorph of the same formula   1.745 eV per formula unit

Cell: 7.521 7.521 7.521 Å, 60.00 60.00 60.00°
Fractional coordinates of all 6 atoms:
1 Sr 0.875 0.375 0.375
2 Sr 0.375 0.375 0.875
3 Sr 0.375 0.875 0.375
4 Sr 0.375 0.375 0.375
5 Ca 0.750 0.750 0.750
6 Mg 0.000 0.000 0.000

Record 4
The following is a DFT calculation (PBE) of InTeRh4 after structural relaxation.

Properties
Uncorrected formation energy   0.16 eV/atom

Cell: 5.287 5.287 5.287 Å, 60.00 60.00 60.00°
Fractional coordinates of all 6 atoms:
1 In 0.000 0.000 0.000
2 Te 0.750 0.750 0.750
3 Rh 0.874 0.375 0.375
4 Rh 0.375 0.375 0.874
5 Rh 0.375 0.874 0.375
6 Rh 0.375 0.375 0.375

Record 5
The following is a DFT calculation (PBE) of Y12Co5Sn after structural relaxation.

Properties
E_form   -0.2773 eV per atom

Cell: 8.322 8.322 8.322 Å, 107.01 110.84 110.59°
Fractional coordinates of all 18 atoms:
1 Y 0.522 0.814 0.708
2 Y 0.478 0.186 0.292
3 Y 0.894 0.186 0.708
4 Y 0.106 0.814 0.292
5 Y 0.695 0.687 0.382
6 Y 0.305 0.313 0.618
7 Y 0.305 0.687 0.992
8 Y 0.695 0.313 0.008
9 Y 0.807 0.599 0.792
10 Y 0.193 0.401 0.208
11 Y 0.193 0.985 0.792
12 Y 0.807 0.015 0.208
13 Co 0.620 0.620 0.000
14 Co 0.380 0.380 0.000
15 Co 0.500 0.111 0.611
16 Co 0.500 0.889 0.389
17 Co 0.000 0.000 0.000
18 Sn 0.000 0.500 0.500

Record 6
The following is a DFT calculation (PBE) of Be2RuRh after structural relaxation.

Properties
E_form   -0.1976 eV per atom

Cell: 7.261 7.261 7.261 Å, 21.71 21.71 21.71°
Last column: magnetic moment on the atom in μB.
Fractional coordinates of all 4 atoms:
1 Ru 0.750 0.750 0.750  0.02
2 Rh 0.250 0.250 0.250  0.08
3 Be 0.999 0.999 0.999  0.00
4 Be 0.501 0.501 0.501  0.00

Record 7
The following is a DFT calculation (PBE) of AcLa2SmS4 after structural relaxation.

Properties
Uncorrected formation energy   -2.08 eV/atom

Cell: 4.140 7.207 7.237 Å, 70.73 90.00 90.00°
Fractional coordinates of all 8 atoms:
1 Ac 0.500 0.500 0.000
2 La 0.000 0.000 0.000
3 La 0.500 0.000 0.500
4 Sm 0.000 0.500 0.500
5 S 0.000 0.753 0.739
6 S 0.000 0.247 0.261
7 S 0.500 0.745 0.261
8 S 0.500 0.255 0.739

Record 8
The following is a DFT calculation (PBE) of Mg7ZnIn12 after structural relaxation.

Properties
E_form   -0.0103 eV per atom

Cell: 5.974 10.025 9.995 Å, 114.46 102.57 100.71°
Fractional coordinates of all 20 atoms:
1 Mg 0.117 0.778 0.064
2 Mg 0.949 0.064 0.288
3 Mg 0.664 0.716 0.779
4 Mg 0.500 0.000 0.000
5 Mg 0.336 0.284 0.221
6 Mg 0.051 0.936 0.712
7 Mg 0.883 0.222 0.936
8 Zn 0.000 0.000 0.000
9 In 0.215 0.551 0.174
10 In 0.963 0.186 0.626
11 In 0.592 0.712 0.074
12 In 0.482 0.069 0.361
13 In 0.345 0.377 0.553
14 In 0.121 0.633 0.708
15 In 0.879 0.367 0.292
16 In 0.655 0.623 0.447
17 In 0.518 0.931 0.639
18 In 0.408 0.288 0.926
19 In 0.037 0.814 0.374
20 In 0.785 0.449 0.826